Entry 1:
Density functional theory data (PBE) for an optimized crystal structure of Cs2PmUSe6.

Cell: 7.904 7.903 11.177 Å, 90.00 90.00 90.00°
Fractional positions:
U 0.000 0.750 0.000
U 0.500 0.250 0.500
Se 0.240 0.510 0.000
Cs 0.000 0.250 0.250
Se 0.500 0.250 0.260
Cs 0.500 0.750 0.250
Se 0.260 0.010 0.500
Pm 0.000 0.750 0.500
Se 0.740 0.010 0.500
Se 0.240 0.990 0.000
Se 0.000 0.750 0.240
Cs 0.000 0.250 0.750
Se 0.000 0.750 0.760
Se 0.260 0.490 0.500
Se 0.500 0.250 0.740
Se 0.740 0.490 0.500
Cs 0.500 0.750 0.750
Se 0.760 0.510 0.000
Se 0.760 0.990 0.000
Pm 0.500 0.250 0.000

Summary:
- ΔE_f (raw) (kJ per mole of atoms) = -121.0
- magnetization (μB/atom) = 0.000

***

Entry 2:
Density functional theory data (PBE) for an optimized crystal structure of CsPmUSe4.

Cell: 8.969 8.975 9.371 Å, 121.47 90.00 119.98°
Site moments in Bohr magnetons follow the coordinates.
Fractional positions:
Cs 0.864 0.728 0.114  0.00
Se 0.737 0.474 0.679  -0.05
Se 0.270 0.954 0.727  -0.04
Se 0.737 0.474 0.295  -0.05
Se 0.263 0.526 0.705  -0.05
Pm 0.500 0.000 0.500  0.01
U 0.000 0.500 0.500  2.13
U 0.500 0.500 0.500  2.13
Cs 0.136 0.272 0.886  0.00
Se 0.317 0.046 0.273  -0.04
Se 0.730 0.046 0.273  -0.04
Pm 0.500 0.000 0.000  0.01
Se 0.683 0.954 0.727  -0.04
Se 0.263 0.526 0.321  -0.05

Summary:
- ΔE_f (raw) (kJ per mole of atoms) = -133.4
- magnetization (μB/atom) = 0.286

***

Entry 3:
Density functional theory data (PBE) for an optimized crystal structure of Cs2PmU2Se6.

Cell: 7.351 7.351 8.926 Å, 97.68 97.68 120.15°
Site moments in Bohr magnetons follow the coordinates.
Fractional positions:
U 0.666 0.334 0.500  2.44
U 0.334 0.666 0.500  2.44
Se 0.599 0.941 0.317  -0.05
Se 0.281 0.281 0.316  -0.05
Cs 0.835 0.165 0.000  0.00
Se 0.059 0.401 0.683  -0.05
Se 0.401 0.059 0.683  -0.05
Pm 0.000 0.000 0.500  0.05
Cs 0.165 0.835 0.000  0.00
Se 0.941 0.599 0.317  -0.05
Se 0.719 0.719 0.684  -0.05

Summary:
- ΔE_f (raw) (kJ per mole of atoms) = -137.5
- magnetization (μB/atom) = 0.455

***

Entry 4:
Density functional theory data (PBE) for an optimized crystal structure of Cs3PmU3Se8.

Cell: 8.493 8.494 9.843 Å, 115.58 90.00 120.00°
Site moments in Bohr magnetons follow the coordinates.
Fractional positions:
U 0.000 0.500 0.500  2.53
Pm 0.000 0.000 0.500  0.07
Se 0.232 0.465 0.686  -0.05
U 0.500 0.500 0.500  2.53
Se 0.768 0.535 0.314  -0.05
Se 0.721 0.953 0.686  -0.05
Se 0.279 0.047 0.314  -0.05
Se 0.271 0.543 0.314  -0.06
Se 0.232 0.953 0.686  -0.05
Cs 0.500 0.500 0.000  0.00
Se 0.729 0.457 0.686  -0.06
Cs 0.000 0.500 0.000  0.00
Cs 0.000 0.000 0.000  0.00
U 0.500 0.000 0.500  2.53
Se 0.768 0.047 0.314  -0.05

Summary:
- ΔE_f (raw) (kJ per mole of atoms) = -131.4
- magnetization (μB/atom) = 0.533

***

Entry 5:
Density functional theory data (PBE) for an optimized crystal structure of CsPm2USe5.

Cell: 5.322 7.644 8.578 Å, 116.46 108.07 90.00°
Site moments in Bohr magnetons follow the coordinates.
Fractional positions:
Se 0.000 0.000 0.000  -0.04
Pm 0.796 0.796 0.592  0.07
Se 0.654 0.388 0.308  -0.02
Se 0.346 0.080 0.692  -0.02
Cs 0.000 0.500 0.000  0.00
Se 0.654 0.920 0.308  -0.02
U 0.500 0.000 0.000  2.38
Se 0.346 0.612 0.692  -0.02
Pm 0.204 0.204 0.408  0.07

Summary:
- ΔE_f (raw) (kJ per mole of atoms) = -144.0
- magnetization (μB/atom) = 0.305

***

Entry 6:
Density functional theory data (PBE) for an optimized crystal structure of Cs2Pm2USe6.

Cell: 7.401 7.401 8.947 Å, 98.19 98.19 119.81°
Site moments in Bohr magnetons follow the coordinates.
Fractional positions:
Se 0.937 0.614 0.316  -0.03
Se 0.386 0.063 0.684  -0.03
Pm 0.333 0.667 0.500  0.01
Cs 0.830 0.170 0.000  0.00
Se 0.741 0.741 0.683  -0.03
U 0.000 0.000 0.500  2.09
Pm 0.667 0.333 0.500  0.01
Se 0.614 0.937 0.316  -0.03
Se 0.259 0.259 0.317  -0.03
Se 0.063 0.386 0.684  -0.03
Cs 0.170 0.830 0.000  0.00

Summary:
- ΔE_f (raw) (kJ per mole of atoms) = -153.7
- magnetization (μB/atom) = 0.182

***

Entry 7:
Density functional theory data (PBE) for an optimized crystal structure of Cs3Pm3USe8.

Cell: 8.613 8.612 9.886 Å, 115.85 90.00 120.00°
Site moments in Bohr magnetons follow the coordinates.
Fractional positions:
Pm 0.500 0.500 0.500  0.01
Se 0.222 0.961 0.683  -0.03
Se 0.261 0.039 0.317  -0.03
Pm 0.500 0.000 0.500  0.01
Se 0.778 0.556 0.317  -0.03
Se 0.270 0.541 0.311  0.00
Se 0.222 0.444 0.683  -0.03
Se 0.739 0.961 0.683  -0.03
Cs 0.500 0.500 0.000  0.00
U 0.000 0.000 0.500  2.07
Cs 0.000 0.500 0.000  0.00
Cs 0.000 0.000 0.000  0.00
Se 0.730 0.459 0.689  0.00
Se 0.778 0.039 0.317  -0.03
Pm 0.000 0.500 0.500  0.01

Summary:
- ΔE_f (raw) (kJ per mole of atoms) = -157.2
- magnetization (μB/atom) = 0.133

***

Entry 8:
Density functional theory data (PBE) for an optimized crystal structure of Cs4Pm3YSe8.

Cell: 8.697 9.786 8.696 Å, 116.40 120.00 90.00°
Fractional positions:
Cs 0.500 0.000 0.000
Pm 0.000 0.500 0.500
Se 0.270 0.310 0.540
Se 0.735 0.688 0.962
Se 0.730 0.690 0.460
Se 0.265 0.312 0.038
Pm 0.500 0.500 0.000
Y 0.000 0.500 0.000
Pm 0.500 0.500 0.500
Se 0.773 0.312 0.038
Cs 0.000 0.000 0.500
Se 0.227 0.688 0.453
Cs 0.000 0.000 0.000
Cs 0.500 0.000 0.500
Se 0.227 0.688 0.962
Se 0.773 0.312 0.547

Summary:
- ΔE_f (raw) (kJ per mole of atoms) = -167.1
- magnetization (μB/atom) = 0.000